Here is an optimized crystal structure of Li4TlAg15 from Alexandria via LeMat-Bulk. Energies are from PBE.

Structure (POSCAR):
```
Li4TlAg15
1.0
4.2114 0.0000 0.0000
0.0000 4.2114 0.0000
0.0000 0.0000 19.9401
Tl Ag Li
1 15 4
Direct
0.0000 0.0000 0.0000 Tl
0.0000 0.5000 0.5000 Ag
0.5000 0.0000 0.3045 Ag
0.5000 0.5000 0.5976 Ag
0.5000 0.0000 0.8900 Ag
0.5000 0.5000 0.4024 Ag
0.0000 0.5000 0.6955 Ag
0.0000 0.5000 0.1100 Ag
0.5000 0.5000 0.7927 Ag
0.0000 0.5000 0.3045 Ag
0.0000 0.5000 0.8900 Ag
0.5000 0.5000 0.2073 Ag
0.5000 0.0000 0.1100 Ag
0.5000 0.0000 0.5000 Ag
0.5000 0.0000 0.6955 Ag
0.5000 0.5000 0.0000 Ag
0.0000 0.0000 0.5986 Li
0.0000 0.0000 0.7935 Li
0.0000 0.0000 0.4014 Li
0.0000 0.0000 0.2065 Li
```

Summary:
Density of states at the Fermi level: 7.8 states/eV/f.u.
Total magnetic moment: 0.00 μB/cell
Formation enthalpy at 0 K: -0.0686 eV per atom
Raw total energy: -54.163 eV/cell


Here is an optimized crystal structure of Hg4SBr2F from Alexandria via LeMat-Bulk. Energies are from PBE.

Structure (POSCAR):
```
Hg4SBr2F
1.0
7.1368 0.0000 0.0000
0.0000 8.4958 0.0000
0.0000 0.0000 8.3742
S Hg F Br
2 8 2 4
Direct
0.9757 0.2137 0.0000 S
0.4757 0.7863 0.5000 S
0.3134 0.1594 0.0000 Hg
0.8947 0.9328 0.0000 Hg
0.8134 0.8406 0.5000 Hg
0.4363 0.6967 0.1707 Hg
0.4363 0.6967 0.8293 Hg
0.9363 0.3033 0.3293 Hg
0.3947 0.0672 0.5000 Hg
0.9363 0.3033 0.6707 Hg
0.5498 0.9928 0.0000 F
0.0498 0.0072 0.5000 F
0.4470 0.3022 0.7187 Br
0.4470 0.3022 0.2813 Br
0.9470 0.6978 0.7813 Br
0.9470 0.6978 0.2187 Br
```

Summary:
Raw formation energy: -410 meV per atom
Density of states at the Fermi level: 2.6 states/eV/f.u.
Total magnetic moment: 0.00 μB/cell
Raw total energy: -27.657 eV/cell


Here is an optimized crystal structure of Ce3TlZn from Alexandria via LeMat-Bulk. Energies are from PBE.

Structure (POSCAR):
```
Ce3TlZn
1.0
-2.7953 1.7320 -0.2695
-0.3885 0.8286 9.3552
4.4616 7.6795 3.0786
Ce Zn Tl
6 2 2
Direct
0.0000 0.8449 0.3314 Ce
0.0000 0.2861 0.2861 Ce
0.0000 0.1551 0.6686 Ce
0.0000 0.7139 0.7139 Ce
0.0000 0.3314 0.8449 Ce
0.0000 0.6686 0.1551 Ce
0.5000 0.0000 0.5000 Zn
0.5000 0.5000 0.0000 Zn
0.5000 0.5000 0.5000 Tl
0.5000 0.0000 0.0000 Tl
```

Summary:
Density of states at the Fermi level: 13.8 states/eV/f.u.
Total magnetic moment: 5.21 μB/cell
Formation enthalpy at 0 K: -0.0520 eV per atom
Raw total energy: -43.404 eV/cell


Here is an optimized crystal structure of Ce2TmUP4 from Alexandria via LeMat-Bulk. Energies are from PBE.

Structure (POSCAR):
```
Ce2TmUP4
1.0
4.0080 0.0000 0.0000
0.0000 6.9562 0.1273
0.0000 -2.4246 6.5276
P Ce Tm U
4 2 1 1
Direct
0.5000 0.7510 0.7604 P
0.5000 0.2490 0.2396 P
0.0000 0.2549 0.7617 P
0.0000 0.7451 0.2383 P
0.0000 0.5000 0.5000 Ce
0.5000 0.0000 0.5000 Ce
0.0000 0.0000 0.0000 Tm
0.5000 0.5000 0.0000 U
```

Summary:
Density of states at the Fermi level: 13.6 states/eV/f.u.
Total magnetic moment: 3.52 μB/cell
Formation enthalpy at 0 K: -1.3849 eV per atom
Raw total energy: -60.346 eV/cell


Here is an optimized crystal structure of Li2As from Alexandria via LeMat-Bulk. Energies are from PBE.

Structure (POSCAR):
```
Li2As
1.0
-2.9432 -0.9595 -5.0672
-0.2414 -1.8649 -5.6323
-2.1115 -6.4596 0.2543
Li As
4 2
Direct
0.2828 0.2828 0.7001 Li
0.9707 0.9707 0.2868 Li
0.7172 0.7172 0.2999 Li
0.0293 0.0293 0.7132 Li
0.3799 0.3799 0.0134 As
0.6201 0.6201 0.9866 As
```

Summary:
Density of states at the Fermi level: 0.4 states/eV/f.u.
Total magnetic moment: 0.00 μB/cell
Formation enthalpy at 0 K: -0.3416 eV per atom
Raw total energy: -19.004 eV/cell


> Which value of raw total energy does entry 5 give?

-19.004 eV/cell


> What is the formula in the third record?

Ce3TlZn


> Number 5 is which compound?

Li2As